# 1
The following is a GGA-PBE calculation of a relaxed TbTmRh crystal, from Alexandria.

Values from the calculation:
Total DFT energy (no corrections) = -6.0908 eV per atom
Symmetry = No. 216
M_tot = 0.00 μB/cell
Energy of formation = -0.606 eV per atom

Structure (extended XYZ):
```
3
Lattice="-2.572 3.043 -2.651 -3.098 -1.677 -3.239 -4.708 0.432 0.744" Properties=species:S:1:pos:R:3 pbc="T T T"
Tm -5.189 0.899 -2.573
Tb 0.000 0.000 0.000
Rh -2.595 0.449 -1.287
```

***

# 2
The following is a GGA-PBE calculation of a relaxed GaNiH2 crystal, from Alexandria.

Values from the calculation:
Total DFT energy (no corrections) = -3.6930 eV per atom
Symmetry = No. 122
M_tot = 0.00 μB/cell

Structure (extended XYZ):
```
8
Lattice="-1.098 -1.631 4.080 4.150 -1.767 0.410 2.728 1.495 3.845" Properties=species:S:1:pos:R:3 pbc="T T T"
H 3.672 -0.358 4.615
H 3.011 -1.124 2.202
H 4.234 -1.647 6.765
H 0.642 -0.677 3.088
Ni 4.202 -0.985 3.250
Ni 1.526 -1.699 2.245
Ga 1.578 -0.918 5.085
Ga 0.000 0.000 0.000
```

***

# 3
The following is a GGA-PBE calculation of a relaxed Sr2TcNi crystal, from Alexandria.

Values from the calculation:
Total DFT energy (no corrections) = -4.0110 eV per atom
Symmetry = No. 216
M_tot = 2.68 μB/cell
Energy of formation = 0.867 eV per atom

Structure (extended XYZ):
```
4
Lattice="5.095 0.000 0.000 2.548 4.413 0.000 2.548 1.471 4.160" Properties=species:S:1:pos:R:3 pbc="T T T"
Tc 7.643 4.413 3.120
Sr 0.000 0.000 0.000
Sr 2.548 1.471 1.040
Ni 5.095 2.942 2.080
```

***

# 4
The following is a GGA-PBE calculation of a relaxed Ba3RhAu crystal, from Alexandria.

Values from the calculation:
Total DFT energy (no corrections) = -3.4713 eV per atom
Symmetry = No. 221
M_tot = 0.00 μB/cell
Energy of formation = -0.192 eV per atom

Structure (extended XYZ):
```
5
Lattice="5.933 0.000 0.000 0.000 5.933 0.000 0.000 0.000 5.933" Properties=species:S:1:pos:R:3 pbc="T T T"
Ba 2.967 0.000 0.000
Ba 0.000 2.967 0.000
Ba 0.000 0.000 2.967
Rh 0.000 0.000 0.000
Au 2.967 2.967 2.967
```

***

# 5
The following is a GGA-PBE calculation of a relaxed Si3Ir2 crystal, from Alexandria.

Values from the calculation:
Uncorrected formation energy = -0.28 eV per atom
Total DFT energy (no corrections) = -7.0826 eV per atom
Symmetry = No. 166
M_tot = 0.00 μB/cell

Structure (extended XYZ):
```
5
Lattice="1.024 8.216 4.585 -1.065 9.017 2.672 -1.808 7.700 5.197" Properties=species:S:1:pos:R:3 pbc="T T T"
Si -1.481 19.966 9.972
Si 0.000 0.000 0.000
Si -0.368 4.967 2.481
Ir -0.743 10.013 5.001
Ir -1.107 14.920 7.452
```

***

# 6
The following is a GGA-PBE calculation of a relaxed KBaHgO2 crystal, from Alexandria.

Values from the calculation:
Uncorrected formation energy = -1.18 eV per atom
Total DFT energy (no corrections) = -3.8258 eV per atom
Symmetry = No. 13
M_tot = 0.00 μB/cell

Structure (extended XYZ):
```
10
Lattice="5.898 0.000 0.000 0.000 6.409 0.890 0.000 -1.010 7.401" Properties=species:S:1:pos:R:3 pbc="T T T"
O 1.270 4.100 4.328
O 4.628 1.299 3.964
O 1.270 1.804 0.263
O 4.628 3.595 8.028
K 2.942 -0.252 1.850
K 2.956 -0.757 5.551
Ba 0.010 2.447 5.996
Ba 5.887 2.952 2.295
Hg 0.000 -0.505 3.701
Hg 0.000 0.000 0.000
```